The following is a PBE calculation of a geometry-optimized PuInCuPt structure, from Alexandria via LeMat-Bulk.

## Properties
SG: No. 216
Volume, Å³/atom: 19.770
Final energy, eV/atom: -7.14
Total magnetization, μB/f.u.: 5.22

The structure in extended XYZ format:
```
4
Lattice="-3.278 0.397 3.508 -3.730 -3.045 0.167 -0.233 -3.337 3.468" Properties=species:S:1:pos:R:3 pbc="T T T"
Pu -3.621 -2.992 3.571
Pt -1.810 -1.496 1.786
In 0.000 0.000 0.000
Cu -5.431 -4.488 5.357
```